No. 1
Entry from Alexandria via LeMat-Bulk: an optimized crystal structure of SmAl2S4 (PBE-GGA).

The value obtained for the uncorrected formation energy is -1108 meV per atom. As for the symmetry: I4/m, No. 87. The calculation puts the density at 3.1 g/cm3. Its density of states at the Fermi level is 2.5 states/eV/cell.

Lattice parameters (Å, degrees): 6.2003 6.2003 6.2003 103.54 103.54 122.13
Closest atoms and distances in Å follow each position.
Sites, in units of the cell vectors:
Sm: 0.0000 0.0000 0.0000  4 S 2.85
Al: 0.2500 0.7500 0.5000  4 S 2.28
Al: 0.7500 0.2500 0.5000  4 S 2.28
S: 0.1537 0.6621 0.8158  2 Al 2.28
S: 0.3379 0.1537 0.4916  2 Al 2.28
S: 0.6621 0.8463 0.5084  2 Al 2.28
S: 0.8463 0.3379 0.1842  2 Al 2.28


No. 2
Entry from Alexandria via LeMat-Bulk: an optimized crystal structure of TbPmPr5Y2 (PBE-GGA).

For the formation energy, the calculation gives 1.2 eV per formula unit. As for the symmetry: Cmc2_1, No. 36. The calculation puts the density at 6.2 g/cm3. Its density of states at the Fermi level is 28.6 states/eV/cell.

Lattice parameters (Å, degrees): 10.7198 10.7198 10.7885 90.00 90.00 148.97
Closest atoms and distances in Å follow each position.
Sites, in units of the cell vectors:
Tb: 0.0905 0.9095 0.5000  5 Pr 3.10-3.40
Tb: 0.9095 0.0905 0.0000  5 Pr 3.10-3.40
Pm: 0.2986 0.7014 0.0499  2 Y 3.48-3.76, 7 Pr 3.54-3.83, 2 Tb 3.71
Pm: 0.7014 0.2986 0.5499  2 Y 3.48-3.76, 7 Pr 3.54-3.83, 2 Tb 3.71
Pr: 0.0203 0.9797 0.7854  2 Tb 3.26-3.40, 2 Pr 3.54-3.56, 2 Y 3.59
Pr: 0.1086 0.8914 0.0666  5 Pr 3.54-3.87, 4 Y 3.64-3.67, 1 Pm 3.93
Pr: 0.2050 0.7950 0.7429  3 Pr 3.48-3.84, 1 Tb 3.53, 3 Pm 3.54-3.83, 3 Y 3.62-3.82
Pr: 0.2184 0.7816 0.3508  1 Tb 3.10, 1 Y 3.40
Pr: 0.4828 0.5172 0.0626  2 Tb 3.31, 3 Y 3.52-3.63
Pr: 0.5172 0.4828 0.5626  2 Tb 3.31, 3 Y 3.52-3.63
Pr: 0.7816 0.2184 0.8508  1 Tb 3.10, 1 Y 3.40
Pr: 0.7950 0.2050 0.2429  3 Pr 3.48-3.84, 1 Tb 3.53, 3 Pm 3.54-3.83, 3 Y 3.62-3.82
Pr: 0.8914 0.1086 0.5666  5 Pr 3.54-3.87, 4 Y 3.64-3.67, 1 Pm 3.93
Pr: 0.9797 0.0203 0.2854  2 Tb 3.26-3.40, 2 Pr 3.54-3.56, 2 Y 3.59
Y: 0.3828 0.6172 0.3594  8 Pr 3.40-3.64, 1 Pm 3.76
Y: 0.3891 0.6109 0.7783  1 Pm 3.48, 7 Pr 3.52-3.82, 2 Tb 3.76
Y: 0.6109 0.3891 0.2783  1 Pm 3.48, 7 Pr 3.52-3.82, 2 Tb 3.76
Y: 0.6172 0.3828 0.8594  8 Pr 3.40-3.64, 1 Pm 3.76


Number 1: calculated volume 25.24 Å³/atom. Number 2: calculated volume 35.50 Å³/atom.